The following is a DFT calculation (PBE) of KTl2Cr after structural relaxation.

energy relative to the lowest polymorph listed for this composition = 0.147 eV/atom
calculated volume = 111 Å³/cell
formation enthalpy at 0 K = 0.433 eV/atom
D(E_F) = 2.41 states/eV/f.u.
space-group type = Fm-3m, No. 225
total magnetization = 4.3 μB per cell

a = 5.3916 Å, b = 5.3916 Å, c = 5.3916 Å
α = 60.00°, β = 60.00°, γ = 60.00°
Closest atoms and distances in Å follow each position.
Element x y z (fractional)
Cr1 0.5000 0.5000 0.5000  8 Tl 3.30
Tl1 0.2500 0.2500 0.2500  4 Cr 3.30, 4 K 3.30
Tl2 0.7500 0.7500 0.7500  4 Cr 3.30, 4 K 3.30
K1 0.0000 0.0000 0.0000  8 Tl 3.30